Material: BeVCoO
Method: DFT, PBE+U
State: relaxed

Cell lengths 6.5085, 2.5350, 4.8765 Å; angles 90.00, 98.13, 90.00 degrees
With the nearest neighbours (Å) after each atom.
Positions (direct):
Co1 0.9879 0.5000 0.1654  3 Be 2.39-2.40, 2 Co 2.54, 3 V 2.56-2.62
Co2 0.9879 0.0000 0.6654  3 Be 2.39-2.40, 2 Co 2.54, 3 V 2.56-2.62
V1 0.3114 0.0000 0.0301  3 O 2.10-2.11
V2 0.3114 0.5000 0.5301  3 O 2.10-2.11
Be1 0.7043 0.0000 0.2974  2 O 1.68
Be2 0.7043 0.5000 0.7974  2 O 1.68
O1 0.5339 0.0000 0.7562  2 Be 1.68
O2 0.5339 0.5000 0.2562  2 Be 1.68

Summary:
V in Å³ per atom: 9.956
Offset from the most stable computed form in eV per atom: 0.0951
SG: Cm, No. 8